The following is a PBE-GGA calculation of a geometry-optimized TeMoCl2 structure, from Alexandria via LeMat-Bulk.

abc: 4.392 4.392 4.654
angles: 90.00 90.00 90.00
Each line ends with the local moment (μB).
Sites, in units of the cell vectors:
Mo 0.500 0.000 0.500  3.16
Te 0.000 0.500 0.500  -0.18
Cl 0.000 0.000 0.000  -0.01
Cl 0.500 0.500 0.000  -0.01

Properties
Density (g/cm³): 5.4
Formation energy (no corrections) (kcal/mol of atoms): 14.966
Polymorph energy (0 for the lowest one) (meV per atom): 1076
DFT total energy (eV/cell): -15.07
Space-group type: P4/mmm